Below is CsNb3P after structural relaxation, with properties calculated at the PBE level. Values from VASP.

```
&SYSTEM
  ibrav = 0, nat = 5, ntyp = 3
/
ATOMIC_SPECIES
Nb 92.91 Nb.upf
Cs 132.91 Cs.upf
P 30.97 P.upf
CELL_PARAMETERS angstrom
5.026 0.000 0.000
0.000 5.026 0.000
0.000 0.000 5.026
ATOMIC_POSITIONS angstrom
Nb 2.513 0.000 0.000
Nb 0.000 2.513 0.000
Nb 0.000 0.000 2.513
Cs 0.000 0.000 0.000
P 2.513 2.513 2.513
```

Results
Magnetization ... 0.000 μB per atom
Formation energy from the elements ... 14.3 eV/f.u.
Space-group type ... No. 221